No. 1
Material: Sc8Al2Cd
Method: DFT, PBE
State: relaxed

a b c (Å): 14.928 4.846 7.729
angles (deg): 90.00 119.11 90.00
Space group C2/m (No. 12)
Unique sites:
1 Sc 0.061 0.000 0.221
2 Sc 0.099 0.500 0.960
3 Sc 0.144 0.000 0.694
4 Sc 0.184 0.500 0.447
5 Al 0.225 0.000 0.125
6 Cd 0.000 0.500 0.500

Results
Its density of states at the Fermi level is 24.225 states/eV/cell. Its calculated formation energy is -0.217 eV per atom. The calculation puts the total magnetization at 0.000 μB/atom.

No. 2
Material: ScAlCd2
Method: DFT, PBE
State: relaxed

a b c (Å): 10.041 3.071 5.625
angles (deg): 90.00 103.06 90.00
Space group Cm (No. 8)
Unique sites:
1 Sc 0.000 0.000 0.000
2 Al 0.255 0.000 0.768
3 Cd 0.020 0.500 0.514
4 Cd 0.262 0.500 0.270

Results
Its density of states at the Fermi level is 4.762 states/eV/cell. Its calculated formation energy is -0.080 eV per atom. The calculation puts the total magnetization at 0.002 μB/atom.